1 | An optimized crystal structure of TbCuNi4, computed with PBE.

Values from the calculation:
**Space group**: P-6m2
**Total magnetic moment**: 0.58 Bohr magnetons per cell
**Density of states at the Fermi level**: 1.22 states/eV per atom

Cell: 4.915 4.915 3.971 Å, 90.00 90.00 120.00°
Each line ends with the local moment (μB).
Element x y z (fractional)
Tb (0.333, 0.667, 0.000)  -0.04
Cu (0.667, 0.333, 0.000)  0.01
Ni (0.000, 0.000, 0.000)  0.17
Ni (0.332, 0.166, 0.500)  0.16
Ni (0.834, 0.166, 0.500)  0.16
Ni (0.834, 0.668, 0.500)  0.16

---

2 | An optimized crystal structure of TbCuNi4, computed with PBE.

Values from the calculation:
**Space group**: Cmcm
**Total magnetic moment**: 0.01 Bohr magnetons per cell
**Density of states at the Fermi level**: 1.19 states/eV per atom

Cell: 3.783 5.965 7.651 Å, 90.00 104.31 90.00°
Element x y z (fractional)
Tb (0.110, 0.250, 0.220)
Tb (0.890, 0.750, 0.780)
Cu (0.235, 0.750, 0.470)
Cu (0.765, 0.250, 0.530)
Ni (0.500, 0.500, 0.000)
Ni (0.500, 0.000, 0.000)
Ni (0.665, 0.941, 0.330)
Ni (0.335, 0.059, 0.670)
Ni (0.335, 0.441, 0.670)
Ni (0.665, 0.559, 0.330)
Ni (0.074, 0.750, 0.147)
Ni (0.926, 0.250, 0.853)

---

3 | An optimized crystal structure of TbCuNi4, computed with PBE.

Values from the calculation:
**Space group**: F-43m
**Total magnetic moment**: 1.10 Bohr magnetons per cell
**Density of states at the Fermi level**: 1.18 states/eV per atom

Cell: 4.868 4.868 4.868 Å, 60.00 60.00 60.00°
Each line ends with the local moment (μB).
Element x y z (fractional)
Ni (0.626, 0.626, 0.122)  0.28
Ni (0.626, 0.122, 0.626)  0.28
Ni (0.626, 0.626, 0.626)  0.28
Ni (0.122, 0.626, 0.626)  0.28
Tb (0.250, 0.250, 0.250)  -0.04
Cu (0.000, 0.000, 0.000)  0.01

---

Stability ranking, top and bottom: 1 is the most stable and 2 is the least stable.

---

1 | An optimized crystal structure of Tb8CuNi2, computed with PBE.

Values from the calculation:
**Space group**: Cm
**Total magnetic moment**: 0.00 Bohr magnetons per cell
**Density of states at the Fermi level**: 1.34 states/eV per atom

Cell: 5.880 7.550 7.550 Å, 113.84 99.21 99.21°
Element x y z (fractional)
Tb (0.580, 0.344, 0.083)
Tb (0.580, 0.083, 0.344)
Tb (0.175, 0.373, 0.373)
Tb (0.988, 0.224, 0.777)
Tb (0.988, 0.777, 0.224)
Tb (0.803, 0.636, 0.636)
Tb (0.381, 0.924, 0.662)
Tb (0.381, 0.662, 0.924)
Cu (0.148, 0.004, 0.004)
Ni (0.488, 0.697, 0.311)
Ni (0.488, 0.311, 0.697)

---

2 | An optimized crystal structure of Tb8CuNi2, computed with PBE.

Values from the calculation:
**Space group**: C2/m
**Total magnetic moment**: 0.00 Bohr magnetons per cell
**Density of states at the Fermi level**: 1.09 states/eV per atom

Cell: 5.033 6.615 9.127 Å, 106.74 106.00 90.00°
Element x y z (fractional)
Tb (0.407, 0.534, 0.814)
Tb (0.675, 0.994, 0.351)
Tb (0.800, 0.660, 0.600)
Tb (0.965, 0.212, 0.931)
Tb (0.200, 0.340, 0.400)
Tb (0.325, 0.006, 0.649)
Tb (0.593, 0.466, 0.186)
Tb (0.035, 0.788, 0.069)
Cu (0.500, 0.000, 0.000)
Ni (0.823, 0.270, 0.645)
Ni (0.177, 0.730, 0.355)

---

Stability ranking, top and bottom: 2 is the most stable and 1 is the least stable.

---

1 | An optimized crystal structure of TbTmCuNi, computed with PBE.

Values from the calculation:
**Space group**: Amm2
**Total magnetic moment**: 0.00 Bohr magnetons per cell
**Density of states at the Fermi level**: 0.65 states/eV per atom

Cell: 3.675 4.387 5.394 Å, 90.00 109.92 90.00°
Element x y z (fractional)
Tb (0.140, 0.000, 0.281)
Tm (0.862, 0.500, 0.723)
Cu (0.572, 0.500, 0.143)
Ni (0.426, 0.000, 0.853)

---

2 | An optimized crystal structure of TbTmCuNi, computed with PBE.

Values from the calculation:
**Space group**: F-43m
**Total magnetic moment**: 0.00 Bohr magnetons per cell
**Density of states at the Fermi level**: 0.70 states/eV per atom

Cell: 4.813 4.813 4.813 Å, 60.00 60.00 60.00°
Element x y z (fractional)
Ni (0.750, 0.750, 0.750)
Tm (0.000, 0.000, 0.000)
Tb (0.500, 0.500, 0.500)
Cu (0.250, 0.250, 0.250)

---

Stability ranking, top and bottom: 1 is the most stable and 2 is the least stable.

---

1 | An optimized crystal structure of CuTcNi2, computed with PBE.

Values from the calculation:
**Space group**: P4mm
**Total magnetic moment**: 0.27 Bohr magnetons per cell
**Density of states at the Fermi level**: 0.95 states/eV per atom

Cell: 2.569 2.569 7.312 Å, 90.00 90.00 90.00°
Each line ends with the local moment (μB).
Element x y z (fractional)
Cu (0.500, 0.500, 0.765)  0.01
Ni (0.000, 0.000, 0.006)  0.22
Ni (0.500, 0.500, 0.240)  0.04
Tc (0.000, 0.000, 0.489)  0.02

---

2 | An optimized crystal structure of CuTcNi2, computed with PBE.

Values from the calculation:
**Space group**: P4/mmm
**Total magnetic moment**: 3.33 Bohr magnetons per cell
**Density of states at the Fermi level**: 0.81 states/eV per atom

Cell: 3.459 3.780 3.780 Å, 90.00 90.00 90.00°
Each line ends with the local moment (μB).
Element x y z (fractional)
Cu (0.500, 0.000, 0.500)  0.16
Ni (0.000, 0.000, 0.000)  0.78
Ni (0.000, 0.500, 0.500)  0.78
Tc (0.500, 0.500, 0.000)  1.54

---

Stability ranking, top and bottom: 1 is the most stable and 2 is the least stable.

---

1 | An optimized crystal structure of CuTcNi2, computed with PBE.

Values from the calculation:
**Space group**: Cmmm
**Total magnetic moment**: 0.80 Bohr magnetons per cell
**Density of states at the Fermi level**: 1.34 states/eV per atom

Cell: 4.486 4.486 2.551 Å, 90.00 90.00 108.89°
Each line ends with the local moment (μB).
Element x y z (fractional)
Cu (0.000, 0.500, 0.500)  0.04
Ni (0.000, 0.000, 0.000)  0.21
Ni (0.500, 0.500, 0.000)  0.21
Tc (0.500, 0.000, 0.500)  0.34

---

2 | An optimized crystal structure of CuTcNi2, computed with PBE.

Values from the calculation:
**Space group**: P4/mmm
**Total magnetic moment**: 1.03 Bohr magnetons per cell
**Density of states at the Fermi level**: 1.46 states/eV per atom

Cell: 4.343 4.343 2.608 Å, 90.00 90.00 90.00°
Each line ends with the local moment (μB).
Element x y z (fractional)
Cu (0.000, 0.500, 0.500)  0.05
Ni (0.000, 0.000, 0.000)  0.27
Ni (0.500, 0.500, 0.000)  0.27
Tc (0.500, 0.000, 0.500)  0.43

---

Stability ranking, top and bottom: 1 is the most stable and 2 is the least stable.

---

1 | An optimized crystal structure of CuTcNi6, computed with PBE.

Values from the calculation:
**Space group**: Cmmm
**Total magnetic moment**: 0.00 Bohr magnetons per cell
**Density of states at the Fermi level**: 1.25 states/eV per atom

Cell: 6.187 6.187 10.116 Å, 90.00 90.00 109.36°
Element x y z (fractional)
Cu (0.251, 0.749, 0.750)
Cu (0.749, 0.251, 0.750)
Cu (0.500, 0.500, 0.502)
Cu (0.500, 0.500, 0.998)
Ni (0.249, 0.751, 0.498)
Ni (0.875, 0.626, 0.625)
Ni (0.125, 0.374, 0.625)
Ni (0.751, 0.249, 0.498)
Ni (0.374, 0.125, 0.625)
Ni (0.626, 0.875, 0.625)
Ni (0.500, 0.500, 0.250)
Ni (0.124, 0.374, 0.375)
Ni (0.374, 0.124, 0.375)
Ni (0.249, 0.751, 0.002)
Ni (0.876, 0.626, 0.125)
Ni (0.124, 0.374, 0.125)
Ni (0.751, 0.249, 0.002)
Ni (0.374, 0.124, 0.125)
Ni (0.626, 0.876, 0.125)
Ni (0.500, 0.500, 0.750)
Ni (0.125, 0.374, 0.875)
Ni (0.374, 0.125, 0.875)
Ni (0.000, 0.000, 0.250)
Ni (0.626, 0.876, 0.375)
Ni (0.876, 0.626, 0.375)
Ni (0.000, 0.000, 0.750)
Ni (0.626, 0.875, 0.875)
Ni (0.875, 0.626, 0.875)
Tc (0.248, 0.752, 0.250)
Tc (0.752, 0.248, 0.250)
Tc (0.000, 0.000, 0.509)
Tc (0.000, 0.000, 0.991)

---

2 | An optimized crystal structure of CuTcNi6, computed with PBE.

Values from the calculation:
**Space group**: P4/mmm
**Total magnetic moment**: 0.01 Bohr magnetons per cell
**Density of states at the Fermi level**: 1.39 states/eV per atom

Cell: 3.587 3.587 7.082 Å, 90.00 90.00 90.00°
Element x y z (fractional)
Cu (0.000, 0.000, 0.000)
Tc (0.000, 0.000, 0.500)
Ni (0.500, 0.500, 0.000)
Ni (0.500, 0.500, 0.500)
Ni (0.500, 0.000, 0.250)
Ni (0.500, 0.000, 0.750)
Ni (0.000, 0.500, 0.250)
Ni (0.000, 0.500, 0.750)

---

Stability ranking, top and bottom: 2 is the most stable and 1 is the least stable.

---

1 | An optimized crystal structure of CuNiTe2, computed with PBE.

Values from the calculation:
**Space group**: F-43m
**Total magnetic moment**: 0.00 Bohr magnetons per cell
**Density of states at the Fermi level**: 0.76 states/eV per atom

Cell: 4.850 4.850 4.850 Å, 60.00 60.00 60.00°
Element x y z (fractional)
Cu (0.500, 0.500, 0.500)
Ni (0.750, 0.750, 0.750)
Te (0.000, 0.000, 0.000)
Te (0.250, 0.250, 0.250)

---

2 | An optimized crystal structure of CuNiTe2, computed with PBE.

Values from the calculation:
**Space group**: R-3m
**Total magnetic moment**: 0.00 Bohr magnetons per cell
**Density of states at the Fermi level**: 0.79 states/eV per atom

Cell: 7.994 7.994 7.994 Å, 27.73 27.73 27.73°
Element x y z (fractional)
Ni (0.500, 0.500, 0.500)
Te (0.893, 0.893, 0.893)
Te (0.107, 0.107, 0.107)
Cu (0.000, 0.000, 0.000)

---

3 | An optimized crystal structure of CuNiTe2, computed with PBE.

Values from the calculation:
**Space group**: Cm
**Total magnetic moment**: 0.00 Bohr magnetons per cell
**Density of states at the Fermi level**: 0.66 states/eV per atom

Cell: 4.183 4.183 6.418 Å, 73.46 73.46 52.15°
Element x y z (fractional)
Cu (0.502, 0.502, 0.458)
Ni (0.255, 0.255, 0.289)
Te (0.000, 0.000, 0.104)
Te (0.743, 0.743, 0.649)

---

4 | An optimized crystal structure of CuNiTe2, computed with PBE.

Values from the calculation:
**Space group**: I-42d
**Total magnetic moment**: 0.00 Bohr magnetons per cell
**Density of states at the Fermi level**: 1.06 states/eV per atom

Cell: 5.847 5.847 7.064 Å, 65.55 65.55 90.00°
Element x y z (fractional)
Ni (0.500, 0.500, 0.000)
Ni (0.250, 0.750, 0.500)
Te (0.610, 0.125, 0.250)
Te (0.140, 0.625, 0.250)
Te (0.375, 0.390, 0.750)
Te (0.875, 0.860, 0.750)
Cu (0.000, 0.000, 0.000)
Cu (0.750, 0.250, 0.500)

---

Stability ranking, top and bottom: 4 is the most stable and 1 is the least stable.

---

1 | An optimized crystal structure of CuNiTe2, computed with PBE.

Values from the calculation:
**Space group**: Pmm2
**Total magnetic moment**: 0.00 Bohr magnetons per cell
**Density of states at the Fermi level**: 0.65 states/eV per atom

Cell: 3.507 3.280 7.471 Å, 90.00 90.00 90.00°
Element x y z (fractional)
Cu (0.000, 0.000, 0.542)
Ni (0.500, 0.500, 0.716)
Te (0.000, 0.000, 0.883)
Te (0.500, 0.500, 0.360)

---

2 | An optimized crystal structure of CuNiTe2, computed with PBE.

Values from the calculation:
**Space group**: Amm2
**Total magnetic moment**: 0.00 Bohr magnetons per cell
**Density of states at the Fermi level**: 0.62 states/eV per atom

Cell: 4.498 4.416 4.410 Å, 71.07 90.00 90.00°
Element x y z (fractional)
Cu (0.000, 0.533, 0.534)
Ni (0.500, 0.721, 0.720)
Te (0.000, 0.899, 0.899)
Te (0.500, 0.347, 0.347)

---

Stability ranking, top and bottom: 2 is the most stable and 1 is the least stable.